Record 1
Li3Sc4 GGA-PBEsol optimized geometry; formation enthalpy at 0 K = 0.13 eV per atom
1.0
3.3367 0.0000 0.0000
0.0000 3.3367 0.0000
0.0000 0.0000 26.8857
Li Sc
6 8
Direct
0.0000 0.0000 0.0000 Li
0.0000 0.0000 0.2777 Li
0.0000 0.0000 0.7223 Li
0.5000 0.5000 0.2223 Li
0.5000 0.5000 0.5000 Li
0.5000 0.5000 0.7777 Li
0.0000 0.0000 0.1484 Sc
0.0000 0.0000 0.4289 Sc
0.0000 0.0000 0.5711 Sc
0.0000 0.0000 0.8516 Sc
0.5000 0.5000 0.0711 Sc
0.5000 0.5000 0.3516 Sc
0.5000 0.5000 0.6484 Sc
0.5000 0.5000 0.9289 Sc

Record 2
LiSc7 GGA-PBEsol optimized geometry; formation enthalpy at 0 K = 0.12 eV per atom
1.0
0.0000 4.5175 4.5175
4.5175 0.0000 4.5175
4.5175 4.5175 0.0000
Li Sc
1 7
Direct
0.0000 0.0000 0.0000 Li
0.0000 0.0000 0.5000 Sc
0.0000 0.5000 0.0000 Sc
0.0000 0.5000 0.5000 Sc
0.5000 0.0000 0.0000 Sc
0.5000 0.0000 0.5000 Sc
0.5000 0.5000 0.0000 Sc
0.5000 0.5000 0.5000 Sc

Record 3
LiScSe2 GGA-PBEsol optimized geometry; ΔE_f (raw) = -561.2 kJ/mol of formula units
1.0
3.7339 0.0000 0.0000
0.0000 3.4643 0.0000
0.0000 0.0000 12.8300
Li Sc Se
2 2 4
Direct
0.0000 0.0000 0.0000 Li
0.0000 0.5000 0.5000 Li
0.5000 0.0000 0.2203 Sc
0.5000 0.5000 0.7203 Sc
0.0000 0.0000 0.8011 Se
0.0000 0.5000 0.3011 Se
0.5000 0.0000 0.5640 Se
0.5000 0.5000 0.0640 Se

Record 4
LiSc2Se GGA-PBEsol optimized geometry; ΔE_f (raw) = -23.6 kJ/mol of formula units
1.0
6.7259 0.0000 0.0000
0.0000 6.7259 0.0000
0.0000 0.0000 6.7259
Li Sc Se
4 8 4
Direct
0.0000 0.0000 0.0000 Li
0.0000 0.5000 0.5000 Li
0.5000 0.0000 0.5000 Li
0.5000 0.5000 0.0000 Li
0.0000 0.0000 0.5000 Sc
0.0000 0.5000 0.0000 Sc
0.2500 0.2500 0.2500 Sc
0.2500 0.7500 0.7500 Sc
0.5000 0.0000 0.0000 Sc
0.5000 0.5000 0.5000 Sc
0.7500 0.2500 0.7500 Sc
0.7500 0.7500 0.2500 Sc
0.2500 0.2500 0.7500 Se
0.2500 0.7500 0.2500 Se
0.7500 0.2500 0.2500 Se
0.7500 0.7500 0.7500 Se

Record 5
LiScSe2 GGA-PBEsol optimized geometry; ΔE_f (raw) = -475.2 kJ/mol of formula units
1.0
6.6721 0.0000 0.0000
0.0000 6.6721 0.0000
0.0000 0.0000 6.6721
Li Sc Se
4 4 8
Direct
0.0000 0.0000 0.0000 Li
0.0000 0.5000 0.5000 Li
0.5000 0.0000 0.5000 Li
0.5000 0.5000 0.0000 Li
0.0000 0.0000 0.5000 Sc
0.0000 0.5000 0.0000 Sc
0.5000 0.0000 0.0000 Sc
0.5000 0.5000 0.5000 Sc
0.2500 0.2500 0.2500 Se
0.2500 0.2500 0.7500 Se
0.2500 0.7500 0.2500 Se
0.2500 0.7500 0.7500 Se
0.7500 0.2500 0.2500 Se
0.7500 0.2500 0.7500 Se
0.7500 0.7500 0.2500 Se
0.7500 0.7500 0.7500 Se

Record 6
LiScSe2 GGA-PBEsol optimized geometry; ΔE_f (raw) = -583.1 kJ/mol of formula units
1.0
3.8443 0.0000 0.0000
0.0000 3.8443 0.0000
0.0000 0.0000 5.2609
Li Sc Se
1 1 2
Direct
0.0000 0.0000 0.0000 Li
0.5000 0.5000 0.4989 Sc
0.0000 0.0000 0.4996 Se
0.5000 0.5000 0.9992 Se

Record 7
LiSc4Se GGA-PBEsol optimized geometry; ΔE_f (raw) = 147.5 kJ/mol of formula units
1.0
0.0000 4.1265 4.1265
4.1265 0.0000 4.1265
4.1265 4.1265 0.0000
Li Sc Se
1 4 1
Direct
0.0000 0.0000 0.0000 Li
0.1240 0.6253 0.6253 Sc
0.6253 0.1240 0.6253 Sc
0.6253 0.6253 0.1240 Sc
0.6253 0.6253 0.6253 Sc
0.2500 0.2500 0.2500 Se

Record 8
LiSc2Se GGA-PBEsol optimized geometry; ΔE_f (raw) = -197.6 kJ/mol of formula units
1.0
3.5083 0.0000 0.0000
-1.7542 3.0383 0.0000
0.0000 0.0000 28.0731
Li Sc Se
3 6 3
Direct
0.0000 0.0000 0.0000 Li
0.3333 0.6667 0.6667 Li
0.6667 0.3333 0.3333 Li
0.0000 0.0000 0.1086 Sc
0.0000 0.0000 0.8914 Sc
0.3333 0.6667 0.5581 Sc
0.3333 0.6667 0.7752 Sc
0.6667 0.3333 0.2248 Sc
0.6667 0.3333 0.4419 Sc
0.0000 0.0000 0.5000 Se
0.3333 0.6667 0.1667 Se
0.6667 0.3333 0.8333 Se

Record 9
Li3ScSe GGA-PBEsol optimized geometry; ΔE_f (raw) = 405.0 kJ/mol of formula units
1.0
5.1505 0.0000 0.0000
0.0000 5.1505 0.0000
0.0000 0.0000 5.1505
Li Sc Se
3 1 1
Direct
0.0000 0.0000 0.5000 Li
0.0000 0.5000 0.0000 Li
0.5000 0.0000 0.0000 Li
0.0000 0.0000 0.0000 Sc
0.5000 0.5000 0.5000 Se

Record 10
LiSc2Si GGA-PBEsol optimized geometry; ΔE_f (raw) = 131.4 kJ/mol of formula units
1.0
3.0567 0.0000 0.0000
-1.5284 2.6472 0.0000
0.0000 0.0000 31.4575
Li Sc Si
3 6 3
Direct
0.0000 0.0000 0.0000 Li
0.3333 0.6667 0.6667 Li
0.6667 0.3333 0.3333 Li
0.0000 0.0000 0.4156 Sc
0.0000 0.0000 0.5844 Sc
0.3333 0.6667 0.0823 Sc
0.3333 0.6667 0.2511 Sc
0.6667 0.3333 0.7489 Sc
0.6667 0.3333 0.9177 Sc
0.0000 0.0000 0.5000 Si
0.3333 0.6667 0.1667 Si
0.6667 0.3333 0.8333 Si

Record 11
LiSc2Si GGA-PBEsol optimized geometry; ΔE_f (raw) = -119.6 kJ/mol of formula units
1.0
3.0686 0.0000 0.0000
0.0000 3.7643 0.0000
0.0000 0.0000 6.3437
Li Sc Si
1 2 1
Direct
0.0000 0.0000 0.0000 Li
0.5000 0.5000 0.2682 Sc
0.5000 0.5000 0.7318 Sc
0.0000 0.0000 0.5000 Si

Record 12
LiScSi2 GGA-PBEsol optimized geometry; ΔE_f (raw) = -194.8 kJ/mol of formula units; distance to the lowest polymorph of the same formula = 0 meV/atom
1.0
3.8979 0.0000 0.0000
0.0000 3.8979 0.0000
0.0000 0.0000 3.9386
Li Sc Si
1 1 2
Direct
0.0000 0.0000 0.0000 Li
0.5000 0.5000 0.0000 Sc
0.0000 0.5000 0.5000 Si
0.5000 0.0000 0.5000 Si

Record 13
Li3ScSi GGA-PBEsol optimized geometry; ΔE_f (raw) = 110.5 kJ/mol of formula units; distance to the lowest polymorph of the same formula = 0 meV/atom
1.0
4.5420 0.0000 0.0000
0.0000 4.5420 0.0000
0.0000 0.0000 4.5420
Li Sc Si
3 1 1
Direct
0.0000 0.0000 0.5000 Li
0.0000 0.5000 0.0000 Li
0.5000 0.0000 0.0000 Li
0.5000 0.5000 0.5000 Sc
0.0000 0.0000 0.0000 Si

Record 14
LiScSi GGA-PBEsol optimized geometry; ΔE_f (raw) = -81.9 kJ/mol of formula units
1.0
2.9892 0.0000 0.0000
0.0000 4.1742 0.0000
0.0000 0.0000 8.0613
Li Sc Si
2 2 2
Direct
0.0000 0.0000 0.0000 Li
0.5000 0.5000 0.5000 Li
0.0000 0.0000 0.6750 Sc
0.5000 0.5000 0.1750 Sc
0.0000 0.0000 0.3273 Si
0.5000 0.5000 0.8273 Si

Record 15
LiScSi2 GGA-PBEsol optimized geometry; ΔE_f (raw) = -100.8 kJ/mol of formula units; distance to the lowest polymorph of the same formula = 243 meV/atom
1.0
6.3582 0.0000 0.0000
0.0000 6.3582 0.0000
0.0000 0.0000 6.3582
Li Sc Si
4 4 8
Direct
0.0000 0.0000 0.0000 Li
0.0000 0.5000 0.5000 Li
0.5000 0.0000 0.5000 Li
0.5000 0.5000 0.0000 Li
0.0000 0.0000 0.5000 Sc
0.0000 0.5000 0.0000 Sc
0.5000 0.0000 0.0000 Sc
0.5000 0.5000 0.5000 Sc
0.2500 0.2500 0.2500 Si
0.2500 0.2500 0.7500 Si
0.2500 0.7500 0.2500 Si
0.2500 0.7500 0.7500 Si
0.7500 0.2500 0.2500 Si
0.7500 0.2500 0.7500 Si
0.7500 0.7500 0.2500 Si
0.7500 0.7500 0.7500 Si

Record 16
Li3ScSi GGA-PBEsol optimized geometry; ΔE_f (raw) = 593.8 kJ/mol of formula units; distance to the lowest polymorph of the same formula = 1002 meV/atom
1.0
4.8568 0.0000 0.0000
0.0000 4.8568 0.0000
0.0000 0.0000 4.8568
Li Sc Si
3 1 1
Direct
0.0000 0.0000 0.5000 Li
0.0000 0.5000 0.0000 Li
0.5000 0.0000 0.0000 Li
0.0000 0.0000 0.0000 Sc
0.5000 0.5000 0.5000 Si

Record 17
Li2ScSi2 GGA-PBEsol optimized geometry; ΔE_f (raw) = -212.1 kJ/mol of formula units
1.0
3.7414 0.0000 0.0000
0.0000 3.7414 0.0000
0.0000 0.0000 11.3814
Li Sc Si
4 2 4
Direct
0.0000 0.5000 0.2500 Li
0.0000 0.5000 0.7500 Li
0.5000 0.0000 0.2500 Li
0.5000 0.0000 0.7500 Li
0.0000 0.0000 0.0000 Sc
0.5000 0.5000 0.5000 Sc
0.0000 0.0000 0.4003 Si
0.0000 0.0000 0.5997 Si
0.5000 0.5000 0.0997 Si
0.5000 0.5000 0.9003 Si

Record 18
LiSc2Si GGA-PBEsol optimized geometry; ΔE_f (raw) = -68.1 kJ/mol of formula units
1.0
8.5108 0.0000 0.0000
0.0000 3.1093 0.0000
-0.8385 0.0000 5.9349
Li Sc Si
2 4 2
Direct
0.0000 0.0000 0.0000 Li
0.5000 0.5000 0.0000 Li
0.2346 0.0000 0.7200 Sc
0.2654 0.5000 0.2800 Sc
0.7346 0.5000 0.7200 Sc
0.7654 0.0000 0.2800 Sc
0.0000 0.5000 0.5000 Si
0.5000 0.0000 0.5000 Si

Record 19
LiScSn GGA-PBEsol optimized geometry; formation enthalpy at 0 K = -0.62 eV per atom
1.0
4.5432 0.0000 0.0000
-2.2716 3.9345 0.0000
0.0000 0.0000 6.5550
Li Sc Sn
2 2 2
Direct
0.3333 0.6667 0.2500 Li
0.6667 0.3333 0.7500 Li
0.0000 0.0000 0.0000 Sc
0.0000 0.0000 0.5000 Sc
0.3333 0.6667 0.7500 Sn
0.6667 0.3333 0.2500 Sn

Record 20
LiScSn3 GGA-PBEsol optimized geometry; distance to the lowest polymorph of the same formula = 103 meV/atom; formation enthalpy at 0 K = 0.18 eV per atom
1.0
5.4375 0.0000 0.0000
0.0000 5.4375 0.0000
0.0000 0.0000 5.4375
Li Sc Sn
1 1 3
Direct
0.0000 0.0000 0.0000 Li
0.5000 0.5000 0.5000 Sc
0.0000 0.5000 0.5000 Sn
0.5000 0.0000 0.5000 Sn
0.5000 0.5000 0.0000 Sn

Record 21
LiSc2Sn2 GGA-PBEsol optimized geometry; formation enthalpy at 0 K = -0.55 eV per atom
1.0
7.1732 0.0000 0.0000
0.0000 7.1732 0.0000
0.0000 0.0000 4.2714
Li Sc Sn
2 4 4
Direct
0.0000 0.0000 0.0000 Li
0.5000 0.5000 0.0000 Li
0.1672 0.3328 0.5000 Sc
0.3328 0.8328 0.5000 Sc
0.6672 0.1672 0.5000 Sc
0.8328 0.6672 0.5000 Sc
0.1402 0.6402 0.0000 Sn
0.3598 0.1402 0.0000 Sn
0.6402 0.8598 0.0000 Sn
0.8598 0.3598 0.0000 Sn

Record 22
LiScSn3 GGA-PBEsol optimized geometry; distance to the lowest polymorph of the same formula = 0 meV/atom; formation enthalpy at 0 K = 0.07 eV per atom
1.0
4.8884 0.0000 0.0000
0.0000 4.8884 0.0000
0.0000 0.0000 4.8884
Li Sc Sn
1 1 3
Direct
0.0000 0.0000 0.0000 Li
0.5000 0.5000 0.5000 Sc
0.0000 0.0000 0.5000 Sn
0.0000 0.5000 0.0000 Sn
0.5000 0.0000 0.0000 Sn

Record 23
LiSc3Sn GGA-PBEsol optimized geometry; formation enthalpy at 0 K = 0.22 eV per atom
1.0
4.7988 0.0000 0.0000
0.0000 4.7988 0.0000
0.0000 0.0000 4.7988
Li Sc Sn
1 3 1
Direct
0.0000 0.0000 0.0000 Li
0.0000 0.0000 0.5000 Sc
0.0000 0.5000 0.0000 Sc
0.5000 0.0000 0.0000 Sc
0.5000 0.5000 0.5000 Sn

Record 24
Li2ScSnW GGA-PBEsol optimized geometry; formation enthalpy at 0 K = 1.08 eV per atom
1.0
4.8362 0.0000 0.0000
0.0000 4.8362 0.0000
0.0000 0.0000 4.7729
Li Sc Sn W
2 1 1 1
Direct
0.0000 0.5000 0.0000 Li
0.5000 0.0000 0.0000 Li
0.0000 0.0000 0.5000 Sc
0.5000 0.5000 0.5000 Sn
0.0000 0.0000 0.0000 W

Record 25
Sr2Li2Sc GGA-PBEsol optimized geometry; formation enthalpy at 0 K = 0.24 eV per atom
1.0
3.8576 0.0000 0.0000
0.0000 3.8576 0.0000
0.0000 0.0000 21.9392
Sr Li Sc
4 4 2
Direct
0.0000 0.0000 0.1129 Sr
0.0000 0.0000 0.8871 Sr
0.5000 0.5000 0.3871 Sr
0.5000 0.5000 0.6129 Sr
0.0000 0.5000 0.2500 Li
0.0000 0.5000 0.7500 Li
0.5000 0.0000 0.2500 Li
0.5000 0.0000 0.7500 Li
0.0000 0.0000 0.5000 Sc
0.5000 0.5000 0.0000 Sc

Record 26
Sr2LiSc GGA-PBEsol optimized geometry; formation enthalpy at 0 K = 0.36 eV per atom
1.0
8.2294 0.0000 0.0000
0.0000 8.2294 0.0000
0.0000 0.0000 8.2294
Sr Li Sc
8 4 4
Direct
0.0000 0.0000 0.0000 Sr
0.0000 0.5000 0.5000 Sr
0.2500 0.2500 0.2500 Sr
0.2500 0.7500 0.7500 Sr
0.5000 0.0000 0.5000 Sr
0.5000 0.5000 0.0000 Sr
0.7500 0.2500 0.7500 Sr
0.7500 0.7500 0.2500 Sr
0.0000 0.0000 0.5000 Li
0.0000 0.5000 0.0000 Li
0.5000 0.0000 0.0000 Li
0.5000 0.5000 0.5000 Li
0.2500 0.2500 0.7500 Sc
0.2500 0.7500 0.2500 Sc
0.7500 0.2500 0.2500 Sc
0.7500 0.7500 0.7500 Sc

Record 27
SrLi2Sc GGA-PBEsol optimized geometry; distance to the lowest polymorph of the same formula = 0 meV/atom; formation enthalpy at 0 K = 0.21 eV per atom
1.0
3.7574 0.0000 0.0000
0.0000 3.7574 0.0000
0.0000 0.0000 7.7193
Sr Li Sc
1 2 1
Direct
0.0000 0.0000 0.0000 Sr
0.5000 0.5000 0.2956 Li
0.5000 0.5000 0.7044 Li
0.0000 0.0000 0.5000 Sc

Record 28
SrLi2Sc GGA-PBEsol optimized geometry; distance to the lowest polymorph of the same formula = 120 meV/atom; formation enthalpy at 0 K = 0.33 eV per atom
1.0
4.5815 0.0000 0.0000
0.0000 4.5815 0.0000
0.0000 0.0000 10.6926
Sr Li Sc
2 4 2
Direct
0.0000 0.0000 0.0000 Sr
0.5000 0.5000 0.5000 Sr
0.0000 0.0000 0.5000 Li
0.0000 0.5000 0.2500 Li
0.5000 0.0000 0.7500 Li
0.5000 0.5000 0.0000 Li
0.0000 0.5000 0.7500 Sc
0.5000 0.0000 0.2500 Sc

Record 29
SrLi2Sc GGA-PBEsol optimized geometry; distance to the lowest polymorph of the same formula = 41 meV/atom; formation enthalpy at 0 K = 0.25 eV per atom
1.0
7.6050 0.0000 0.0000
0.0000 7.6050 0.0000
0.0000 0.0000 7.6050
Sr Li Sc
4 8 4
Direct
0.0000 0.0000 0.0000 Sr
0.0000 0.5000 0.5000 Sr
0.5000 0.0000 0.5000 Sr
0.5000 0.5000 0.0000 Sr
0.2500 0.2500 0.2500 Li
0.2500 0.2500 0.7500 Li
0.2500 0.7500 0.2500 Li
0.2500 0.7500 0.7500 Li
0.7500 0.2500 0.2500 Li
0.7500 0.2500 0.7500 Li
0.7500 0.7500 0.2500 Li
0.7500 0.7500 0.7500 Li
0.0000 0.0000 0.5000 Sc
0.0000 0.5000 0.0000 Sc
0.5000 0.0000 0.0000 Sc
0.5000 0.5000 0.5000 Sc

Number 1: density of states at the Fermi level 18.4 states/eV per cell. Number 2: density of states at the Fermi level 12.9 states/eV per cell. Number 3: density of states at the Fermi level 0.4 states/eV per cell. Number 4: density of states at the Fermi level 23.3 states/eV per cell. Number 5: density of states at the Fermi level 2.8 states/eV per cell. Number 6: density of states at the Fermi level 0.9 states/eV per cell. Number 7: density of states at the Fermi level 9.3 states/eV per cell. Number 8: density of states at the Fermi level 10.4 states/eV per cell. Number 9: density of states at the Fermi level 8.5 states/eV per cell. Number 10: density of states at the Fermi level 12.9 states/eV per cell. Number 11: density of states at the Fermi level 4.2 states/eV per cell. Number 12: density of states at the Fermi level 1.4 states/eV per cell. Number 13: density of states at the Fermi level 2.9 states/eV per cell. Number 14: density of states at the Fermi level 2.9 states/eV per cell. Number 15: density of states at the Fermi level 7.5 states/eV per cell. Number 16: density of states at the Fermi level 7.5 states/eV per cell. Number 17: density of states at the Fermi level 3.5 states/eV per cell. Number 18: density of states at the Fermi level 5.2 states/eV per cell. Number 19: density of states at the Fermi level 2.2 states/eV per cell. Number 20: density of states at the Fermi level 4.4 states/eV per cell. Number 21: density of states at the Fermi level 6.9 states/eV per cell. Number 22: density of states at the Fermi level 2.9 states/eV per cell. Number 23: density of states at the Fermi level 5.1 states/eV per cell. Number 24: density of states at the Fermi level 3.3 states/eV per cell. Number 25: density of states at the Fermi level 9.5 states/eV per cell. Number 26: density of states at the Fermi level 24.5 states/eV per cell. Number 27: density of states at the Fermi level 5.5 states/eV per cell. Number 28: density of states at the Fermi level 8.4 states/eV per cell. Number 29: density of states at the Fermi level 20.3 states/eV per cell.